! LaHoScTe3 (PBE, relaxed); values from VASP
! E_form (uncorrected) in eV/atom: -1.2596
! Final energy in eV for the cell shown: -65.6
&SYSTEM
  ibrav = 0, nat = 12, ntyp = 4
/
ATOMIC_SPECIES
La 138.91 La.upf
Ho 164.93 Ho.upf
Sc 44.96 Sc.upf
Te 127.60 Te.upf
CELL_PARAMETERS angstrom
8.893 0.000 0.000
0.000 4.346 0.000
-2.708 0.000 9.564
ATOMIC_POSITIONS crystal
La 0.184 0.250 0.234
La 0.816 0.750 0.766
Ho 0.329 0.750 0.841
Ho 0.671 0.250 0.159
Sc 0.092 0.250 0.595
Sc 0.908 0.750 0.405
Te 0.098 0.250 0.885
Te 0.259 0.750 0.502
Te 0.431 0.750 0.167
Te 0.569 0.250 0.833
Te 0.741 0.250 0.498
Te 0.902 0.750 0.115



! Ca2US2N2 (PBE, relaxed); values from VASP
! E_form (uncorrected) in eV/atom: -1.6173
! Final energy in eV for the cell shown: -103.0
&SYSTEM
  ibrav = 0, nat = 14, ntyp = 4
/
ATOMIC_SPECIES
Ca 40.08 Ca.upf
U 238.03 U.upf
S 32.06 S.upf
N 14.01 N.upf
CELL_PARAMETERS angstrom
4.173 0.000 0.000
0.000 4.173 0.000
0.000 0.000 15.442
ATOMIC_POSITIONS crystal
Ca 0.000 0.000 0.140
Ca 0.000 0.000 0.860
Ca 0.500 0.500 0.360
Ca 0.500 0.500 0.640
U 0.000 0.000 0.500
U 0.500 0.500 0.000
S 0.000 0.000 0.326
S 0.000 0.000 0.674
S 0.500 0.500 0.174
S 0.500 0.500 0.826
N 0.000 0.500 0.000
N 0.000 0.500 0.500
N 0.500 0.000 0.000
N 0.500 0.000 0.500



! Tb2ThTl3Se6 (PBE, relaxed); values from VASP
! E_form (uncorrected) in eV/atom: -1.3040
! Final energy in eV for the cell shown: -60.3
&SYSTEM
  ibrav = 0, nat = 12, ntyp = 4
/
ATOMIC_SPECIES
Tb 158.93 Tb.upf
Th 232.04 Th.upf
Tl 204.38 Tl.upf
Se 78.96 Se.upf
CELL_PARAMETERS angstrom
3.635 -6.294 0.000
3.635 6.294 0.000
-2.419 0.000 7.910
ATOMIC_POSITIONS crystal
Tb 0.167 0.833 0.000
Tb 0.833 0.167 0.000
Th 0.500 0.500 0.000
Tl 0.000 0.000 0.500
Tl 0.332 0.668 0.500
Tl 0.668 0.332 0.500
Se 0.095 0.431 0.793
Se 0.234 0.234 0.208
Se 0.431 0.095 0.793
Se 0.569 0.905 0.207
Se 0.766 0.766 0.792
Se 0.905 0.569 0.207